Computed, not measured: a geometry-optimized Nd2Y2CI2Cl3 structure at the GGA-PBE level of DFT.

```
data_Nd2Y2CI2Cl3
_cell_length_a 18.6294
_cell_length_b 3.9157
_cell_length_c 8.1354
_cell_angle_alpha 90.00
_cell_angle_beta 100.91
_cell_angle_gamma 90.00
_space_group_name_H-M_alt 'C 1 2/m 1'
_space_group_IT_number 12
loop_
_space_group_symop_operation_xyz
'x,y,z'
'-x,-y,-z'
'-x,y,-z'
'x,-y,z'
'x+1/2,y+1/2,z'
'-x+1/2,-y+1/2,-z'
'-x+1/2,y+1/2,-z'
'x+1/2,-y+1/2,z'
loop_
_atom_site_label
_atom_site_type_symbol
_atom_site_fract_x
_atom_site_fract_y
_atom_site_fract_z
Nd1 Nd 0.0012 0.0000 0.2861
Y1 Y 0.1321 0.5000 0.5679
C1 C 0.0000 0.5000 0.5000
I1 I 0.1760 0.0000 0.3082
Cl1 Cl 0.0000 0.5000 0.0000
Cl2 Cl 0.1543 0.0000 0.8081
```

Calculated values
Uncorrected energy (eV per formula unit): -54.93



Computed, not measured: a geometry-optimized Pr4CICl4 structure at the GGA-PBE level of DFT.

```
data_Pr4CICl4
_cell_length_a 17.8747
_cell_length_b 4.0132
_cell_length_c 8.8896
_cell_angle_alpha 90.00
_cell_angle_beta 104.56
_cell_angle_gamma 90.00
_space_group_name_H-M_alt 'C 1 2/m 1'
_space_group_IT_number 12
loop_
_space_group_symop_operation_xyz
'x,y,z'
'-x,-y,-z'
'-x,y,-z'
'x,-y,z'
'x+1/2,y+1/2,z'
'-x+1/2,-y+1/2,-z'
'-x+1/2,y+1/2,-z'
'x+1/2,-y+1/2,z'
loop_
_atom_site_label
_atom_site_type_symbol
_atom_site_fract_x
_atom_site_fract_y
_atom_site_fract_z
Pr1 Pr 0.0013 0.0000 0.3037
Pr2 Pr 0.1461 0.5000 0.5788
C1 C 0.0000 0.5000 0.5000
I1 I 0.0000 0.5000 0.0000
Cl1 Cl 0.1647 0.0000 0.8113
Cl2 Cl 0.1709 0.0000 0.3604
```

Calculated values
Uncorrected energy (eV per formula unit): -52.96